No. 1
Entry from Alexandria: a relaxed structure of Na2NpMnO6 (PBE+U).

Cell: 4.1753 5.5695 5.5695 Å, 90.00 90.00 90.00°
With the nearest neighbours (Å) after each atom.
Fractional coordinates of all 10 atoms:
Na  0.1319  0.5000  0.0000  12 O 2.79-2.93
Na  0.1319  0.0000  0.5000  12 O 2.79-2.93
Np  0.6452  0.5000  0.5000  6 O 2.01-2.10
Mn  0.6232  0.0000  0.0000  5 O 1.91-1.93
O  0.6504  0.2451  0.2451  1 Mn 1.93, 1 Np 2.01
O  0.6504  0.2451  0.7549  1 Mn 1.93, 1 Np 2.01
O  0.1481  0.5000  0.5000  2 Np 2.08-2.10
O  0.1649  0.0000  0.0000  1 Mn 1.91
O  0.6504  0.7549  0.7549  1 Mn 1.93, 1 Np 2.01
O  0.6504  0.7549  0.2451  1 Mn 1.93, 1 Np 2.01

Results
- DFT total energy: -7.279 eV per atom



No. 2
Entry from Alexandria: a relaxed structure of NaNpMnO4 (PBE+U).

Cell: 6.5912 6.6048 6.9667 Å, 121.83 90.00 119.93°
With the nearest neighbours (Å) after each atom.
Fractional coordinates of all 14 atoms:
Na  0.8637  0.7275  0.1137  4 O 2.30-2.35
Na  0.1363  0.2725  0.8863  4 O 2.30-2.35
Np  0.5000  0.0000  0.5000  6 O 2.06-2.22
Np  0.5000  0.0000  0.0000  6 O 2.06-2.22
Mn  0.5000  0.5000  0.5000  6 O 2.24-2.26
Mn  0.0000  0.5000  0.5000  6 O 2.24-2.26
O  0.7250  0.4500  0.6898  1 Np 2.06, 2 Mn 2.24
O  0.2935  0.0059  0.2530  2 Np 2.22, 1 Mn 2.26, 1 Na 2.30
O  0.7123  0.0059  0.2529  2 Np 2.22, 1 Mn 2.26, 1 Na 2.30
O  0.7250  0.4500  0.2602  1 Np 2.06, 2 Mn 2.24
O  0.2750  0.5500  0.7398  1 Np 2.06, 2 Mn 2.24
O  0.7065  0.9941  0.7470  2 Np 2.22, 1 Mn 2.26, 1 Na 2.30
O  0.2877  0.9941  0.7471  2 Np 2.22, 1 Mn 2.26, 1 Na 2.30
O  0.2750  0.5500  0.3102  1 Np 2.06, 2 Mn 2.24

Results
- DFT total energy: -8.270 eV per atom